Entry 1:
A geometry-optimized Na3SbO3 structure, computed with PBE-GGA.

Cell: 6.0333 6.0333 6.6436 Å, 83.27 83.27 105.59°
Last column: nearest neighbours and their distance in Å.
Positions (direct):
1 O 0.0120 0.0120 0.2487  1 Sb 1.98
2 Na 0.8119 0.1881 0.5000  4 O 2.34-2.45
3 O 0.4817 0.7885 0.6950  1 Sb 1.96
4 O 0.9880 0.9880 0.7513  1 Sb 1.98
5 Na 0.1981 0.8019 0.0000  4 O 2.52-2.53
6 Na 0.1881 0.8119 0.5000  4 O 2.34-2.45
7 Sb 0.2856 0.2856 0.1484  3 O 1.96-1.98
8 Sb 0.7144 0.7144 0.8516  3 O 1.96-1.98
9 O 0.7885 0.4817 0.6950  1 Sb 1.96
10 O 0.2115 0.5183 0.3050  1 Sb 1.96
11 Na 0.3156 0.3156 0.6318  3 O 2.37-2.59
12 Na 0.6844 0.6844 0.3682  3 O 2.37-2.59
13 O 0.5183 0.2115 0.3050  1 Sb 1.96
14 Na 0.8019 0.1981 0.0000  4 O 2.52-2.53

Computed properties:
As for the space-group type: C2/m (12). Its density is 3.47 g/cm³. Its magnetization is 0.00 μB/f.u. For the uncorrected formation energy, the calculation gives -1.46 eV/atom.

---

Entry 2:
A geometry-optimized La2CoCu structure, computed with PBE-GGA.

Cell: 4.4607 3.9352 5.7214 Å, 69.97 90.00 90.00°
Last column: nearest neighbours and their distance in Å.
Positions (direct):
1 La 0.0000 0.9891 0.8958  3 Co 2.93-3.20, 4 Cu 3.06
2 Cu 0.5000 0.5561 0.7616  2 Co 2.66, 2 La 2.95-2.96
3 La 0.5000 0.2616 0.3522  3 Cu 2.95-3.17, 4 Co 3.06-3.07
4 Co 0.0000 0.6932 0.4905  2 Cu 2.66, 2 La 2.93-2.94

Computed properties:
As for the space-group type: Pm (6). The formation enthalpy at 0 K is -0.43 eV per formula unit. Its density is 7.04 g/cm³. Its magnetization is 0.00 μB/f.u.

---

Entry 3:
A geometry-optimized NdZnCu2 structure, computed with PBE-GGA.

Cell: 4.2874 6.9808 9.6608 Å, 90.00 90.00 90.00°
Last column: nearest neighbours and their distance in Å.
Positions (direct):
1 Cu 0.2500 0.9227 0.1237  3 Cu 2.57-2.65, 2 Zn 2.60-2.77
2 Cu 0.2500 0.4227 0.3763  3 Cu 2.57-2.65, 2 Zn 2.60-2.77
3 Nd 0.7500 0.2199 0.1763  6 Cu 2.83-3.06, 1 Zn 3.15
4 Cu 0.2500 0.7352 0.5329  3 Cu 2.57-2.65, 3 Zn 2.58-2.70, 1 Nd 2.83
5 Zn 0.7500 0.9487 0.6050  5 Cu 2.58-2.77
6 Cu 0.7500 0.7648 0.0329  3 Cu 2.57-2.65, 3 Zn 2.58-2.70, 1 Nd 2.83
7 Cu 0.7500 0.0773 0.8763  3 Cu 2.57-2.65, 2 Zn 2.60-2.77
8 Zn 0.2500 0.0513 0.3950  5 Cu 2.58-2.77
9 Nd 0.2500 0.7801 0.8237  6 Cu 2.83-3.06, 1 Zn 3.15
10 Nd 0.7500 0.7199 0.3237  6 Cu 2.83-3.06, 1 Zn 3.15
11 Zn 0.7500 0.4487 0.8950  5 Cu 2.58-2.77
12 Cu 0.2500 0.2352 0.9671  3 Cu 2.57-2.65, 3 Zn 2.58-2.70, 1 Nd 2.83
13 Cu 0.7500 0.2648 0.4671  3 Cu 2.57-2.65, 3 Zn 2.58-2.70, 1 Nd 2.83
14 Cu 0.7500 0.5773 0.6237  3 Cu 2.57-2.65, 2 Zn 2.60-2.77
15 Zn 0.2500 0.5513 0.1050  5 Cu 2.58-2.77
16 Nd 0.2500 0.2801 0.6763  6 Cu 2.83-3.06, 1 Zn 3.15

Computed properties:
As for the space-group type: Pnma (62). The formation enthalpy at 0 K is -0.94 eV per formula unit. Its density is 7.74 g/cm³. Its magnetization is 0.00 μB/f.u.

---

Entry 4:
A geometry-optimized NaSrSc2 structure, computed with PBE-GGA.

Cell: 12.9485 12.9485 12.9485 Å, 15.19 15.19 15.19°
Last column: nearest neighbours and their distance in Å.
Positions (direct):
1 Na 0.0000 0.0000 0.0000  2 Sc 3.31, 6 Na 3.42
2 Sr 0.5000 0.5000 0.5000  6 Sr 3.42, 6 Sc 3.66
3 Sc 0.0863 0.0863 0.0863  1 Na 3.31, 6 Sc 3.42, 3 Sr 3.66
4 Sc 0.9137 0.9137 0.9137  1 Na 3.31, 6 Sc 3.42, 3 Sr 3.66

Computed properties:
As for the space-group type: R-3m (166). The formation enthalpy at 0 K is 1.98 eV per formula unit. Its density is 2.56 g/cm³. Its magnetization is 0.00 μB/f.u.

---

Entry 5:
A geometry-optimized Pm4TcGe2 structure, computed with PBE-GGA.

Cell: 5.0097 5.0097 9.1811 Å, 74.17 74.17 60.00°
Last column: nearest neighbours and their distance in Å.
Positions (direct):
1 Pm 0.7885 0.7885 0.6345  4 Ge 2.96-2.99
2 Pm 0.2115 0.2115 0.3655  4 Ge 2.96-2.99
3 Pm 0.3747 0.3747 0.8758  3 Tc 3.09, 3 Ge 3.24
4 Ge 0.0970 0.0970 0.7090  1 Tc 2.54
5 Pm 0.6253 0.6253 0.1242  3 Tc 3.09, 3 Ge 3.24
6 Ge 0.9030 0.9030 0.2910  1 Tc 2.54
7 Tc 0.0000 0.0000 0.0000  2 Ge 2.54

Computed properties:
As for the space-group type: R-3m (166). The formation enthalpy at 0 K is -2.94 eV per formula unit. Its density is 7.22 g/cm³. Its magnetization is 0.00 μB/f.u.

---

Entry 6:
A geometry-optimized NdYZnAg structure, computed with PBE-GGA.

Cell: 3.6608 3.6608 7.3488 Å, 90.00 90.00 90.00°
Last column: nearest neighbours and their distance in Å.
Positions (direct):
1 Zn 0.5000 0.5000 0.5939  4 Y 3.09, 4 Nd 3.19, 1 Ag 3.46
2 Y 0.0000 0.0000 0.3634  4 Zn 3.09, 4 Ag 3.13
3 Ag 0.5000 0.5000 0.1232  4 Y 3.13, 4 Nd 3.29, 1 Zn 3.46
4 Nd 0.0000 0.0000 0.8474  4 Zn 3.19, 4 Ag 3.29, 1 Y 3.56

Computed properties:
As for the space-group type: P4mm (99). The formation enthalpy at 0 K is -1.26 eV per formula unit. Its density is 6.85 g/cm³. Its magnetization is 0.01 μB/f.u.

---

Entry 7:
A geometry-optimized FeAsH2Ir structure, computed with PBE-GGA.

Cell: 3.4590 5.1341 3.4590 Å, 90.00 90.00 90.00°
Last column: nearest neighbours and their distance in Å.
Positions (direct):
1 Ir 0.5000 0.5000 0.5000  4 Fe 2.45
2 H 0.0000 0.0000 0.5000  2 As 1.73
3 Fe 0.0000 0.5000 0.0000  4 Ir 2.45, 2 As 2.57
4 As 0.0000 0.0000 0.0000  4 H 1.73
5 H 0.5000 0.0000 0.0000  2 As 1.73

Computed properties:
As for the space-group type: P4/mmm (123). As for the calculated total energy: -4.9465 eV per atom. Its density is 8.79 g/cm³. Its magnetization is 3.12 μB/f.u.

---

Entry 8:
A geometry-optimized RbSn3H structure, computed with PBE-GGA.

Cell: 5.0243 5.0243 5.0243 Å, 90.00 90.00 90.00°
Last column: nearest neighbours and their distance in Å.
Positions (direct):
1 Sn 0.5000 0.0000 0.0000  2 H 2.51
2 Rb 0.5000 0.5000 0.5000  12 Sn 3.55
3 Sn 0.0000 0.0000 0.5000  2 H 2.51
4 H 0.0000 0.0000 0.0000  6 Sn 2.51
5 Sn 0.0000 0.5000 0.0000  2 H 2.51

Computed properties:
As for the space-group type: Pm-3m (221). As for the calculated total energy: -3.0202 eV per atom. Its density is 5.79 g/cm³. Its magnetization is 0.00 μB/f.u.